# 1
# DyZrTeC

A relaxed DyZrTeC crystal (GGA-PBE, OQMD).

Summary:
Magnetic moment in Bohr magnetons per cell: 0.0
Symmetry: No. 187
Polymorph energy (0 for the lowest one) in eV per atom: 0.0117

a = 3.6500 Å, b = 3.6500 Å, c = 13.8741 Å
α = 90.00°, β = 90.00°, γ = 120.00°
Atoms (fractional coordinates):
1 Te 0.3333 0.6667 0.5000
2 Te 0.6667 0.3333 0.0000
3 C 0.0000 0.0000 0.7657
4 C 0.0000 0.0000 0.2343
5 Dy 0.6667 0.3333 0.6641
6 Dy 0.6667 0.3333 0.3359
7 Zr 0.3333 0.6667 0.8460
8 Zr 0.3333 0.6667 0.1540

***

# 2
# DyZrTeC

A relaxed DyZrTeC crystal (GGA-PBE, OQMD).

Summary:
Magnetic moment in Bohr magnetons per cell: 0.0
Symmetry: No. 186
Polymorph energy (0 for the lowest one) in eV per atom: 0.0000

a = 3.6566 Å, b = 3.6566 Å, c = 13.8288 Å
α = 90.00°, β = 90.00°, γ = 120.00°
Atoms (fractional coordinates):
1 Dy 0.6667 0.3333 0.9084
2 Dy 0.3333 0.6667 0.4084
3 Te 0.6667 0.3333 0.2417
4 Te 0.3333 0.6667 0.7417
5 C 0.0000 0.0000 0.5090
6 C 0.0000 0.0000 0.0090
7 Zr 0.6667 0.3333 0.5909
8 Zr 0.3333 0.6667 0.0909

***

# 3
# DyTh5C4

A relaxed DyTh5C4 crystal (GGA-PBE, OQMD).

Summary:
Magnetic moment in Bohr magnetons per cell: 0.0
Symmetry: No. 12

a = 8.2572 Å, b = 8.2572 Å, c = 7.5140 Å
α = 102.37°, β = 102.37°, γ = 25.72°
Atoms (fractional coordinates):
1 C 0.9969 0.9969 0.7468
2 C 0.3329 0.3329 0.9190
3 C 0.0031 0.0031 0.2532
4 C 0.6671 0.6671 0.0810
5 Th 0.8377 0.8377 0.1577
6 Th 0.5000 0.5000 0.5000
7 Th 0.8413 0.8413 0.6918
8 Th 0.1587 0.1587 0.3082
9 Th 0.1623 0.1623 0.8423
10 Dy 0.5000 0.5000 0.0000

***

# 4
# Dy3TlC

A relaxed Dy3TlC crystal (GGA-PBE, OQMD).

Summary:
Magnetic moment in Bohr magnetons per cell: 0.0
Symmetry: No. 221

a = 4.9183 Å, b = 4.9183 Å, c = 4.9183 Å
α = 90.00°, β = 90.00°, γ = 90.00°
Atoms (fractional coordinates):
1 Dy 0.5000 0.0000 0.0000
2 Dy 0.0000 0.0000 0.5000
3 Dy 0.0000 0.5000 0.0000
4 Tl 0.5000 0.5000 0.5000
5 C 0.0000 0.0000 0.0000

***

Number 1: final energy -7.227 eV/atom. Number 2: final energy -7.239 eV/atom. Number 3: final energy -8.128 eV/atom. Number 4: final energy -5.535 eV/atom.